Entry 1:
The following is a PBE calculation of MgBiPt2Au after structural relaxation, from the Alexandria database.

Output
Energy relative to the elements = 0.91 eV per atom
DFT total energy = -3.26 eV/atom

Cell: 5.1102 5.1102 5.2624 Å, 90.00 90.00 90.00°
Last column: nearest neighbours and their distance in Å.
Space group P4/mmm (No. 123)
Unique sites:
Mg 0.0000 0.0000 0.0000  2 Bi 2.63
Bi 0.0000 0.0000 0.5000  4 Pt 2.56, 2 Mg 2.63
Pt 0.0000 0.5000 0.5000  2 Bi 2.56
Au 0.5000 0.5000 0.0000  4 Mg 3.61, 8 Pt 3.67

Entry 2:
The following is a PBE calculation of PuMgBiAu after structural relaxation, from the Alexandria database.

Output
Energy relative to the elements = -0.36 eV per atom
DFT total energy = -6.14 eV/atom

Cell: 7.3423 7.3423 7.3423 Å, 90.00 90.00 90.00°
Last column: nearest neighbours and their distance in Å.
Space group F-43m (No. 216)
Unique sites:
Pu 0.0000 0.0000 0.0000  4 Bi 3.18, 4 Au 3.18
Mg 0.0000 0.0000 0.5000  4 Bi 3.18, 4 Au 3.18
Bi 0.2500 0.2500 0.2500  4 Mg 3.18, 4 Pu 3.18
Au 0.2500 0.2500 0.7500  4 Mg 3.18, 4 Pu 3.18

Entry 3:
The following is a PBE calculation of RbMgBi2Au after structural relaxation, from the Alexandria database.

Output
Energy relative to the elements = -0.03 eV per atom
DFT total energy = -2.75 eV/atom

Cell: 5.7848 5.7848 5.2319 Å, 90.00 90.00 90.00°
Last column: nearest neighbours and their distance in Å.
Space group P4/mmm (No. 123)
Unique sites:
Rb 0.0000 0.0000 0.0000  8 Bi 3.90, 4 Mg 4.09
Mg 0.5000 0.5000 0.0000  2 Au 2.62
Bi 0.0000 0.5000 0.5000  2 Au 2.89
Au 0.5000 0.5000 0.5000  2 Mg 2.62, 4 Bi 2.89

Entry 4:
The following is a PBE calculation of MgBiRhAu after structural relaxation, from the Alexandria database.

Output
Energy relative to the elements = -0.19 eV per atom
DFT total energy = -4.22 eV/atom

Cell: 6.7779 6.7779 6.7779 Å, 90.00 90.00 90.00°
Last column: nearest neighbours and their distance in Å.
Space group F-43m (No. 216)
Unique sites:
Mg 0.0000 0.0000 0.0000  4 Rh 2.93, 4 Au 2.93
Bi 0.0000 0.0000 0.5000  4 Rh 2.93, 4 Au 2.93
Rh 0.2500 0.2500 0.2500  4 Bi 2.93, 4 Mg 2.93
Au 0.2500 0.2500 0.7500  4 Bi 2.93, 4 Mg 2.93

Entry 5:
The following is a PBE calculation of MgScBiAu after structural relaxation, from the Alexandria database.

Output
Energy relative to the elements = -0.40 eV per atom
DFT total energy = -4.17 eV/atom

Cell: 7.0931 7.0931 7.0931 Å, 90.00 90.00 90.00°
Last column: nearest neighbours and their distance in Å.
Space group F-43m (No. 216)
Unique sites:
Mg 0.0000 0.0000 0.0000  4 Bi 3.07, 4 Au 3.07
Sc 0.0000 0.0000 0.5000  4 Bi 3.07, 4 Au 3.07
Bi 0.2500 0.2500 0.2500  4 Mg 3.07, 4 Sc 3.07
Au 0.2500 0.2500 0.7500  4 Mg 3.07, 4 Sc 3.07

Entry 6:
The following is a PBE calculation of SmMgBiAu after structural relaxation, from the Alexandria database.

Output
Energy relative to the elements = -0.50 eV per atom
DFT total energy = -3.86 eV/atom

Cell: 7.4067 7.4067 7.4067 Å, 90.00 90.00 90.00°
Last column: nearest neighbours and their distance in Å.
Space group F-43m (No. 216)
Unique sites:
Sm 0.0000 0.0000 0.0000  4 Bi 3.21, 4 Au 3.21
Mg 0.0000 0.0000 0.5000  4 Bi 3.21, 4 Au 3.21
Bi 0.2500 0.2500 0.2500  4 Mg 3.21, 4 Sm 3.21
Au 0.2500 0.2500 0.7500  4 Mg 3.21, 4 Sm 3.21

Entry 7:
The following is a PBE calculation of SrMgBiAu after structural relaxation, from the Alexandria database.

Output
Energy relative to the elements = -0.53 eV per atom
DFT total energy = -3.14 eV/atom

Cell: 7.5719 7.5719 7.5719 Å, 90.00 90.00 90.00°
Last column: nearest neighbours and their distance in Å.
Space group F-43m (No. 216)
Unique sites:
Sr 0.0000 0.0000 0.0000  4 Bi 3.28, 4 Au 3.28
Mg 0.0000 0.0000 0.5000  4 Bi 3.28, 4 Au 3.28
Bi 0.2500 0.2500 0.7500  4 Mg 3.28, 4 Sr 3.28
Au 0.2500 0.2500 0.2500  4 Mg 3.28, 4 Sr 3.28

Entry 8:
The following is a PBE calculation of TbMgBiAu after structural relaxation, from the Alexandria database.

Output
Energy relative to the elements = -0.49 eV per atom
DFT total energy = -3.83 eV/atom

Cell: 7.3366 7.3366 7.3366 Å, 90.00 90.00 90.00°
Last column: nearest neighbours and their distance in Å.
Space group F-43m (No. 216)
Unique sites:
Tb 0.0000 0.0000 0.0000  4 Bi 3.18, 4 Au 3.18
Mg 0.0000 0.0000 0.5000  4 Bi 3.18, 4 Au 3.18
Bi 0.2500 0.2500 0.7500  4 Tb 3.18, 4 Mg 3.18
Au 0.2500 0.2500 0.2500  4 Tb 3.18, 4 Mg 3.18

Entry 9:
The following is a PBE calculation of MgBiTe2Au after structural relaxation, from the Alexandria database.

Output
ΔE_f (raw) = 0.6747 eV/atom
DFT total energy = -2.33 eV/atom

Cell: 5.9869 5.9869 5.3687 Å, 90.00 90.00 90.00°
Last column: nearest neighbours and their distance in Å.
Space group P4/mmm (No. 123)
Unique sites:
Mg 0.0000 0.0000 0.0000  2 Bi 2.68
Bi 0.0000 0.0000 0.5000  2 Mg 2.68, 4 Te 2.99
Te 0.0000 0.5000 0.5000  2 Bi 2.99
Au 0.5000 0.5000 0.0000  8 Te 4.02, 4 Mg 4.23

Entry 10:
The following is a PBE calculation of MgTl2BiAu after structural relaxation, from the Alexandria database.

Output
Energy relative to the elements = 0.26 eV per atom
DFT total energy = -2.44 eV/atom

Cell: 5.4781 5.4781 5.7765 Å, 90.00 90.00 90.00°
Last column: nearest neighbours and their distance in Å.
Space group P4/mmm (No. 123)
Unique sites:
Mg 0.0000 0.0000 0.0000  4 Bi 3.87, 8 Tl 3.98
Tl 0.0000 0.5000 0.5000  2 Au 2.74
Bi 0.5000 0.5000 0.0000  2 Au 2.89
Au 0.5000 0.5000 0.5000  4 Tl 2.74, 2 Bi 2.89

Entry 11:
The following is a PBE calculation of TmMgBiAu after structural relaxation, from the Alexandria database.

Output
Energy relative to the elements = -0.46 eV per atom
DFT total energy = -3.76 eV/atom

Cell: 7.2676 7.2676 7.2676 Å, 90.00 90.00 90.00°
Last column: nearest neighbours and their distance in Å.
Space group F-43m (No. 216)
Unique sites:
Tm 0.0000 0.0000 0.0000  4 Au 3.15, 4 Bi 3.15
Mg 0.0000 0.0000 0.5000  4 Bi 3.15, 4 Au 3.15
Bi 0.2500 0.2500 0.2500  4 Tm 3.15, 4 Mg 3.15
Au 0.2500 0.2500 0.7500  4 Mg 3.15, 4 Tm 3.15

Entry 12:
The following is a PBE calculation of YMgBiAu after structural relaxation, from the Alexandria database.

Output
Energy relative to the elements = -0.49 eV per atom
DFT total energy = -4.29 eV/atom

Cell: 7.3306 7.3306 7.3306 Å, 90.00 90.00 90.00°
Last column: nearest neighbours and their distance in Å.
Space group F-43m (No. 216)
Unique sites:
Y 0.0000 0.0000 0.0000  4 Bi 3.17, 4 Au 3.17
Mg 0.0000 0.0000 0.5000  4 Bi 3.17, 4 Au 3.17
Bi 0.2500 0.2500 0.2500  4 Mg 3.17, 4 Y 3.17
Au 0.2500 0.2500 0.7500  4 Mg 3.17, 4 Y 3.17